Compound: Sr2AcAl6
Source: Alexandria via LeMat-Bulk
Functional: GGA-PBE
Structure: optimized geometry

a b c (Å): 3.570 8.632 8.632
angles (deg): 73.46 78.06 78.06
Fractional positions:
Al1 0.820 0.884 0.476
Al2 0.000 0.795 0.205
Sr1 0.361 0.139 0.139
Sr2 0.639 0.861 0.861
Al3 0.180 0.116 0.524
Al4 0.180 0.524 0.116
Al5 0.000 0.205 0.795
Ac1 0.500 0.500 0.500
Al6 0.820 0.476 0.884

Properties
As for the calculated volume: 27.376 Å³ per atom. The calculation puts the size of the total moment at 0.0 Bohr magnetons per cell. The symmetry is Immm (71). The uncorrected energy is -3.36 eV/atom. The value obtained for the density of states at the Fermi level is 5.15 states/eV/cell. Its theoretical density is 3.80 g cm⁻³. The value obtained for the formation energy is -3 kJ per mole of atoms.